# Pr6H3C2O

An optimized crystal structure of Pr6H3C2O (PBE-GGA, Alexandria).

Computed properties:
Total energy ... -5.91 eV per atom
Space-group type ... C2/m, No. 12

Cell: 6.445 6.445 6.480 Å, 99.52 99.52 120.08°
Sites, in units of the cell vectors:
1 Pr 0.410 0.077 0.231
2 Pr 0.590 0.923 0.769
3 Pr 0.923 0.590 0.769
4 Pr 0.077 0.410 0.231
5 Pr 0.256 0.256 0.769
6 Pr 0.744 0.744 0.231
7 H 0.177 0.823 0.500
8 H 0.823 0.177 0.500
9 H 0.500 0.500 0.500
10 C 0.334 0.666 0.000
11 C 0.666 0.334 0.000
12 O 0.000 0.000 0.000